Entry 1:
Density functional theory data (PBE-GGA) for an optimized crystal structure of SrTaTc2.

Lattice parameters (Å, degrees): 5.9446 5.5301 2.7724 79.08 83.47 120.59
Positions (direct):
Sr 0.0000 0.5000 0.5000
Ta 0.5000 0.5000 0.0000
Tc 0.0000 0.0000 0.0000
Tc 0.5000 0.0000 0.5000

DFT formation energy (eV per atom): 0.83
Total moment (μB per formula unit): 0.000
Density of states at the Fermi level (states/eV/cell): 4.05
DFT total energy (Ry per atom): -0.5685
Excess energy over the best structure of this formula in the dataset (meV/atom): 489

***

Entry 2:
Density functional theory data (PBE-GGA) for an optimized crystal structure of SrTaTc2.

Lattice parameters (Å, degrees): 4.2109 3.0127 6.7872 79.31 90.00 90.00
Positions (direct):
Sr 0.5000 0.2500 0.2500
Ta 0.5000 0.7500 0.7500
Tc 0.0000 0.9820 0.9212
Tc 0.0000 0.5180 0.5788

DFT formation energy (eV per atom): 0.48
Total moment (μB per formula unit): 0.000
Density of states at the Fermi level (states/eV/cell): 4.77
DFT total energy (Ry per atom): -0.5946
Excess energy over the best structure of this formula in the dataset (meV/atom): 133

***

Entry 3:
Density functional theory data (PBE-GGA) for an optimized crystal structure of SrTaTc2.

Lattice parameters (Å, degrees): 3.2773 3.2773 7.5095 90.00 90.00 90.00
Positions (direct):
Sr 0.5000 0.5000 0.2500
Ta 0.5000 0.5000 0.7500
Tc 0.0000 0.0000 0.9366
Tc 0.0000 0.0000 0.5634

DFT formation energy (eV per atom): 0.34
Total moment (μB per formula unit): 0.000
Density of states at the Fermi level (states/eV/cell): 6.11
DFT total energy (Ry per atom): -0.6044
Excess energy over the best structure of this formula in the dataset (meV/atom): 0

***

Entry 4:
Density functional theory data (PBE-GGA) for an optimized crystal structure of Sr2TaVTc.

Lattice parameters (Å, degrees): 5.7884 4.5931 5.7884 90.00 90.00 90.00
Positions (direct):
Sr 0.0000 0.0000 0.5000
Sr 0.5000 0.0000 0.0000
V 0.0000 0.0000 0.0000
Tc 0.5000 0.5000 0.5000
Ta 0.0000 0.5000 0.0000

DFT formation energy (eV per atom): 1.69
Total moment (μB per formula unit): 4.348
Density of states at the Fermi level (states/eV/cell): 5.42
DFT total energy (Ry per atom): -0.3861

***

Copy entry 4 word for word.
Density functional theory data (PBE-GGA) for an optimized crystal structure of Sr2TaVTc.

Lattice parameters (Å, degrees): 5.7884 4.5931 5.7884 90.00 90.00 90.00
Positions (direct):
Sr 0.0000 0.0000 0.5000
Sr 0.5000 0.0000 0.0000
V 0.0000 0.0000 0.0000
Tc 0.5000 0.5000 0.5000
Ta 0.0000 0.5000 0.0000

DFT formation energy (eV per atom): 1.69
Total moment (μB per formula unit): 4.348
Density of states at the Fermi level (states/eV/cell): 5.42
DFT total energy (Ry per atom): -0.3861

***

Q: Look up the total moment of the first one.
A: 0.000 μB per formula unit

***

Q: Number 3 is which compound?
A: SrTaTc2